Entry 1:
DFT (PBE-GGA) results for Rb2MnTlS4 after structural relaxation.

The structure belongs to space group Fddd (No. 70, origin choice 2); the cell edges are 7.1078, 12.8124 and 23.4288 Å and the angles 90.00°, 90.00° and 90.00°. The inequivalent atoms are Rb at (0.1250, 0.1250, 0.3077), Mn at (0.1250, 0.1250, 0.6250), Tl at (0.1250, 0.1250, 0.1250) and S at (0.0668, 0.2842, 0.8245).

For the total energy, the calculation gives -0.324 Ry per atom. As for the uncorrected formation energy: -509 kJ/mol of formula units. The magnetization comes out at 16.01 μB/cell.

---

Entry 2:
DFT (PBE-GGA) results for BaPuTlHg after structural relaxation.

The structure belongs to space group F-43m (No. 216); the cell edges are 8.0754, 8.0754 and 8.0754 Å and the angles 90.00°, 90.00° and 90.00°. The inequivalent atoms are Ba at (0.0000, 0.0000, 0.0000), Pu at (0.0000, 0.0000, 0.5000), Tl at (0.2500, 0.2500, 0.2500) and Hg at (0.2500, 0.2500, 0.7500).

For the total energy, the calculation gives -0.358 Ry per atom. The formation energy comes out at -0.139 eV/atom. The magnetization comes out at 23.66 μB/cell.

---

Entry 3:
DFT (PBE-GGA) results for LiCd after structural relaxation.

The structure belongs to space group Pnma (No. 62); the cell edges are 7.3810, 5.1043 and 8.2946 Å and the angles 90.00°, 90.00° and 90.00°. The inequivalent atoms are Li at (0.0000, 0.0000, 0.0000), Li at (0.1628, 0.2500, 0.3161), Cd at (0.1590, 0.7500, 0.5090) and Cd at (0.1676, 0.2500, 0.6960).

For the total energy, the calculation gives -0.117 Ry per atom. The formation energy comes out at -0.182 eV/atom. The magnetization comes out at 0.00 μB/cell.

---

Entry 4:
DFT (PBE-GGA) results for Os3PdS after structural relaxation.

The structure belongs to space group Pm-3m (No. 221); the cell edges are 4.3232, 4.3232 and 4.3232 Å and the angles 90.00°, 90.00° and 90.00°. The inequivalent atoms are Os at (0.0000, 0.0000, 0.5000), Pd at (0.5000, 0.5000, 0.5000) and S at (0.0000, 0.0000, 0.0000).

For the total energy, the calculation gives -0.548 Ry per atom. For the distance to the lowest polymorph of the same formula, the calculation gives 0 meV/atom. As for the uncorrected formation energy: 554 kJ/mol of formula units. The magnetization comes out at 1.08 μB/cell.

---

Entry 5:
DFT (PBE-GGA) results for Cs3MgFe after structural relaxation.

The structure belongs to space group Pm-3m (No. 221); the cell edges are 7.5103, 7.5103 and 7.5103 Å and the angles 90.00°, 90.00° and 90.00°. The inequivalent atoms are Cs at (0.0000, 0.0000, 0.5000), Mg at (0.0000, 0.0000, 0.0000) and Fe at (0.5000, 0.5000, 0.5000).

For the total energy, the calculation gives -0.112 Ry per atom. The formation energy comes out at 0.999 eV/atom. For the distance to the lowest polymorph of the same formula, the calculation gives 0 meV/atom. The magnetization comes out at 3.66 μB/cell.

---

Entry 6:
DFT (PBE-GGA) results for Mg2OsS2 after structural relaxation.

The structure belongs to space group P4/mbm (No. 127); the cell edges are 6.6243, 6.6243 and 3.5763 Å and the angles 90.00°, 90.00° and 90.00°. The inequivalent atoms are Mg at (0.1582, 0.3418, 0.0000), Os at (0.0000, 0.0000, 0.5000) and S at (0.1597, 0.6597, 0.5000).

For the total energy, the calculation gives -0.355 Ry per atom. For the distance to the lowest polymorph of the same formula, the calculation gives 0 meV/atom. As for the uncorrected formation energy: -145 kJ/mol of formula units. The magnetization comes out at 0.00 μB/cell.